Entry 1:
Material: Cd2TcAs2
Method: DFT, PBE
State: optimized geometry

Geometry as POSCAR:
```
Cd2TcAs2
1.0
-2.7617 -5.7724 0.0474
1.6180 -0.8245 -6.1361
4.1524 -1.9755 1.3603
As Tc Cd
4 2 4
Cartesian
0.3978 -2.7841 -5.2572 As
-1.3375 -5.4896 -3.8892 As
-1.5415 -3.8128 -0.8315 As
0.1938 -1.1072 -2.1995 As
0.0000 0.0000 0.0000 Tc
-0.5719 -3.2984 -3.0444 Tc
2.6746 -2.6147 -3.5091 Cd
1.5068 -5.6095 -4.2936 Cd
0.3341 -5.9576 -1.2193 Cd
1.5018 -2.9628 -0.4348 Cd
```

Results
* SG: P4/mbm
* volume: 19.64 Å³ per atom
* VASP energy: -0.1535 Ha/atom
* magnetization: 0.0 μB/f.u.

=====

Entry 2:
Material: Cd2TcAs
Method: DFT, PBE
State: optimized geometry

Geometry as POSCAR:
```
Cd2TcAs
1.0
-2.9465 0.5266 -1.6349
-2.1758 -1.2090 3.5320
-0.0390 4.6822 1.5787
As Tc Cd
1 1 2
Cartesian
-1.1074 1.7366 2.5554 As
-1.4928 2.6044 -0.0281 Tc
0.0000 0.0000 0.0000 Cd
-2.5612 -0.3412 0.9486 Cd
```

Results
* SG: Pmmm
* volume: 18.21 Å³ per atom
* VASP energy: -0.1389 Ha/atom
* magnetization: 0.0 μB/f.u.

=====

Entry 3:
Material: CdTc2As
Method: DFT, PBE
State: optimized geometry

Geometry as POSCAR:
```
CdTc2As
1.0
-3.8618 1.0289 -1.8753
-1.3668 -1.9672 1.7354
-1.4376 2.7083 4.4465
As Tc Cd
1 2 1
Cartesian
-1.1154 0.5872 2.6192 As
-0.1304 0.1042 0.3257 Tc
-2.8862 0.3201 0.9231 Tc
-3.9364 1.1292 3.5296 Cd
```

Results
* SG: Pm
* volume: 16.97 Å³ per atom
* energy above the most stable polymorph in this dataset: 226 meV per atom
* magnetization: 0.0 μB/f.u.

=====

Entry 4:
Material: CdTc2As
Method: DFT, PBE
State: optimized geometry

Geometry as POSCAR:
```
CdTc2As
1.0
-3.8394 -3.3256 -1.0211
4.8787 -1.4316 -1.2217
0.7032 -1.8801 2.1106
As Tc Cd
1 2 1
Cartesian
2.7909 -1.6558 0.4445 As
0.0000 0.0000 0.0000 Tc
-1.5681 -2.6028 0.5448 Tc
0.5196 -2.3786 -1.1214 Cd
```

Results
* SG: C2/m
* volume: 16.46 Å³ per atom
* energy above the most stable polymorph in this dataset: 493 meV per atom
* magnetization: 0.0 μB/f.u.

=====

Entry 5:
Material: Cd2TcAs
Method: DFT, PBE
State: optimized geometry

Geometry as POSCAR:
```
Cd2TcAs
1.0
7.8867 0.0000 0.0000
0.0000 7.8867 0.0000
3.9434 3.9434 2.6326
As Tc Cd
2 2 4
Cartesian
3.9434 3.9434 0.0000 As
3.9434 7.8867 1.3163 As
0.0000 0.0000 0.0000 Tc
7.8867 3.9434 1.3163 Tc
5.8229 1.9717 0.6581 Cd
2.0639 5.9151 0.6581 Cd
5.9151 6.0073 1.9744 Cd
9.8584 9.7662 1.9744 Cd
```

Results
* SG: I-42d
* volume: 20.47 Å³ per atom
* VASP energy: -0.1330 Ha/atom
* magnetization: 2.0 μB/f.u.

=====

Entry 6:
Material: Cd2TcAs
Method: DFT, PBE
State: optimized geometry

Geometry as POSCAR:
```
Cd2TcAs
1.0
10.2583 0.1292 0.0759
9.7708 3.1275 0.0759
9.7708 1.5887 2.6950
As Tc Cd
1 1 2
Cartesian
22.9019 3.7238 2.1878 As
14.6753 2.3862 1.4019 Tc
0.0606 0.0099 0.0058 Cd
7.0620 1.1483 0.6746 Cd
```

Results
* SG: R3m
* volume: 20.19 Å³ per atom
* VASP energy: -0.1533 Ha/atom
* magnetization: 0.0 μB/f.u.